Entry 1:
VASP calculation (GGA-PBE) on a relaxed structure of Rb2SnAu.

```
Rb2SnAu
1.0
-12.6055 2.1805 -3.2636
1.4129 -7.7211 -10.6157
-6.3123 -4.8203 -5.5439
Sn Rb Au
2 4 2
Direct
0.5000 0.5000 0.0000
0.2500 0.7500 0.5000
0.9419 0.6250 0.2500
0.8750 0.0581 0.7500
0.3750 0.1919 0.7500
0.8081 0.1250 0.2500
0.0000 0.0000 0.0000
0.7500 0.2500 0.5000
```

Results
**Total magnetic moment**: 0.0 μB/f.u.
**Final energy**: -2.457 eV/atom
**Space group**: I-42d, No. 122
**Calculated formation energy**: -0.15 eV/atom

---

Entry 2:
VASP calculation (GGA-PBE) on a relaxed structure of RbSn2Au.

```
RbSn2Au
1.0
-0.8951 -5.2832 0.0614
-1.2323 -2.4556 4.6010
-4.9592 -1.8684 0.7954
Au Rb Sn
1 1 2
Direct
0.5000 0.5000 0.5000
0.0000 0.0000 0.0000
0.7500 0.7500 0.7500
0.2500 0.2500 0.2500
```

Results
**Total magnetic moment**: 0.0 μB/f.u.
**Final energy**: -2.905 eV/atom
**Space group**: Fm-3m, No. 225
**Calculated formation energy**: 0.16 eV/atom

---

Entry 3:
VASP calculation (GGA-PBE) on a relaxed structure of Rb2SnAu6.

```
Rb2SnAu6
1.0
-3.0486 5.2006 -2.4289
-4.8427 -0.4131 5.3668
1.1802 3.5154 6.2189
Au Rb Sn
6 2 1
Direct
0.8874 0.2066 0.5849
0.1126 0.4151 0.7934
0.8874 0.5849 0.2066
0.8861 0.2065 0.2065
0.1126 0.7934 0.4151
0.1139 0.7935 0.7935
0.6284 0.6665 0.6665
0.3716 0.3335 0.3335
0.0000 0.0000 0.0000
```

Results
**Total magnetic moment**: 0.0 μB/f.u.
**Final energy**: -3.004 eV/atom
**Space group**: C2/m, No. 12
**Calculated formation energy**: -0.16 eV/atom

---

Entry 4:
VASP calculation (GGA-PBE) on a relaxed structure of Rb12SnAu6.

```
Rb12SnAu6
1.0
9.9386 0.0000 -3.5138
-4.9693 8.6071 -3.5138
0.0000 0.0000 10.5415
Sn Au Rb
1 6 12
Direct
0.0000 0.0000 0.0000
0.8808 0.3808 0.5000
0.5000 0.8808 0.3808
0.3808 0.5000 0.8808
0.1192 0.6192 0.5000
0.5000 0.1192 0.6192
0.6192 0.5000 0.1192
0.1259 0.8247 0.3012
0.1753 0.3012 0.4765
0.8247 0.3012 0.1259
0.3012 0.4765 0.1753
0.3012 0.1259 0.8247
0.6988 0.8741 0.1753
0.8247 0.6988 0.5235
0.4765 0.1753 0.3012
0.5235 0.8247 0.6988
0.1753 0.6988 0.8741
0.8741 0.1753 0.6988
0.6988 0.5235 0.8247
```

Results
**Total magnetic moment**: 0.0 μB/f.u.
**Final energy**: -2.056 eV/atom
**Space group**: Im-3, No. 204
**Calculated formation energy**: -0.20 eV/atom